Material: MoIr2Se
Method: DFT, PBE
State: optimized geometry

```
MoIr2Se
1.0
8.899 -0.020 -0.011
8.444 2.809 -0.011
8.444 1.358 2.459
Ir Se Mo
2 1 1
direct
0.501 0.501 0.501
0.999 0.999 0.999
0.750 0.750 0.750
0.250 0.250 0.250
```

Output
For the formation energy without anion corrections, the calculation gives 0.6 eV/f.u. The total magnetization comes out at 0.00 μB per formula unit. The calculation puts the density of states at the Fermi level at 3.38 states/eV/cell.